Record 1
The following is a DFT calculation (GGA-PBE) of a relaxed structure of SiNi.

Unit cell a=5.258 b=3.271 c=5.680 alpha=90.00 beta=90.00 gamma=90.00
Atoms (fractional coordinates):
Si 0.180 0.250 0.078
Si 0.320 0.750 0.578
Si 0.680 0.250 0.422
Si 0.820 0.750 0.922
Ni 0.007 0.250 0.688
Ni 0.493 0.750 0.188
Ni 0.507 0.250 0.812
Ni 0.993 0.750 0.312

Summary:
**Energy relative to the elements, uncorrected**: -0.51 eV/atom
**Space-group type**: Pnma, No. 62
**Volume**: 97.7 Å³ per cell
**DFT total energy**: -0.4489 Ry/atom

Record 2
The following is a DFT calculation (GGA-PBE) of a relaxed structure of Mg5P.

Unit cell a=5.596 b=5.596 c=5.259 alpha=90.00 beta=90.00 gamma=120.00
Atoms (fractional coordinates):
Mg 0.000 0.500 0.000
Mg 0.333 0.667 0.500
Mg 0.500 0.000 0.000
Mg 0.500 0.500 0.000
Mg 0.667 0.333 0.500
P 0.000 0.000 0.500

Summary:
**Offset from the most stable computed form**: 2.65 eV/f.u.
**Formation energy**: 0.345 eV/atom
**Space-group type**: P6/mmm, No. 191
**Volume**: 142.7 Å³ per cell
**DFT total energy**: -0.1386 Ry/atom

Record 3
The following is a DFT calculation (GGA-PBE) of a relaxed structure of TlWS2N.

Unit cell a=4.912 b=4.912 c=3.888 alpha=90.00 beta=90.00 gamma=90.00
Atoms (fractional coordinates):
Tl 0.000 0.000 0.000
W 0.500 0.500 0.500
S 0.000 0.500 0.500
S 0.500 0.000 0.500
N 0.500 0.500 0.000

Summary:
**Offset from the most stable computed form**: 0.00 eV/f.u.
**Energy relative to the elements, uncorrected**: -0.07 eV/atom
**Space-group type**: P4/mmm, No. 123
**Volume**: 93.8 Å³ per cell
**DFT total energy**: -0.4741 Ry/atom

Record 4
The following is a DFT calculation (GGA-PBE) of a relaxed structure of GaNiBi2W.

Unit cell a=5.093 b=5.093 c=4.810 alpha=90.00 beta=90.00 gamma=90.00
Atoms (fractional coordinates):
Ga 0.000 0.000 0.000
Ni 0.500 0.500 0.500
Bi 0.000 0.500 0.500
Bi 0.500 0.000 0.500
W 0.500 0.500 0.000

Summary:
**Formation energy**: 1.060 eV/atom
**Space-group type**: P4/mmm, No. 123
**Volume**: 124.8 Å³ per cell
**DFT total energy**: -0.3560 Ry/atom

Record 5
The following is a DFT calculation (GGA-PBE) of a relaxed structure of Ac2LaReN5.

Unit cell a=7.821 b=7.821 c=7.821 alpha=125.81 beta=125.81 gamma=80.20
Atoms (fractional coordinates):
Ac 0.176 0.676 0.852
Ac 0.324 0.176 0.500
Ac 0.676 0.824 0.500
Ac 0.824 0.324 0.148
La 0.250 0.250 0.000
La 0.750 0.750 0.000
Re 0.250 0.750 0.500
Re 0.750 0.250 0.500
N 0.000 0.000 0.000
N 0.010 0.800 0.500
N 0.200 0.700 0.210
N 0.300 0.510 0.500
N 0.490 0.990 0.790
N 0.500 0.500 0.000
N 0.510 0.010 0.210
N 0.700 0.490 0.500
N 0.800 0.300 0.790
N 0.990 0.200 0.500

Summary:
**Energy relative to the elements, uncorrected**: -0.96 eV/atom
**Space-group type**: I4/mcm, No. 140
**Volume**: 303.6 Å³ per cell
**DFT total energy**: -0.6192 Ry/atom

Record 6
The following is a DFT calculation (GGA-PBE) of a relaxed structure of Nd2Dy8In.

Unit cell a=9.373 b=9.373 c=7.906 alpha=104.73 beta=104.73 gamma=30.71
Atoms (fractional coordinates):
Nd 0.222 0.222 0.135
Nd 0.778 0.778 0.865
Dy 0.044 0.044 0.225
Dy 0.133 0.133 0.674
Dy 0.320 0.320 0.591
Dy 0.411 0.411 0.057
Dy 0.589 0.589 0.943
Dy 0.680 0.680 0.409
Dy 0.867 0.867 0.326
Dy 0.956 0.956 0.775
In 0.500 0.500 0.500

Summary:
**Formation energy**: -0.060 eV/atom
**Space-group type**: C2/m, No. 12
**Volume**: 342.2 Å³ per cell
**DFT total energy**: -0.3324 Ry/atom

Record 7
The following is a DFT calculation (GGA-PBE) of a relaxed structure of YReRh2.

Unit cell a=4.953 b=4.953 c=5.023 alpha=100.71 beta=100.71 gamma=34.52
Atoms (fractional coordinates):
Y 0.000 0.000 0.000
Re 0.232 0.232 0.652
Rh 0.498 0.498 0.511
Rh 0.756 0.756 0.220

Summary:
**Offset from the most stable computed form**: 0.31 eV/f.u.
**Formation energy**: -0.093 eV/atom
**Space-group type**: Cm, No. 8
**Volume**: 68.5 Å³ per cell
**DFT total energy**: -0.6245 Ry/atom

Record 8
The following is a DFT calculation (GGA-PBE) of a relaxed structure of Tl2RuAu.

Unit cell a=4.912 b=4.912 c=4.912 alpha=60.00 beta=60.00 gamma=60.00
Atoms (fractional coordinates):
Tl 0.000 0.000 0.000
Tl 0.250 0.250 0.250
Ru 0.750 0.750 0.750
Au 0.500 0.500 0.500

Summary:
**Offset from the most stable computed form**: 1.23 eV/f.u.
**Formation energy**: 0.645 eV/atom
**Space-group type**: F-43m, No. 216
**Volume**: 83.8 Å³ per cell
**DFT total energy**: -0.2702 Ry/atom